Material: FeW
Method: DFT, PBE
State: optimized geometry

Summary:
SG: Pm-3n (223)
formation energy: 1.983 eV per atom

a b c (Å): 6.536 6.536 6.536
angles (deg): 90.00 90.00 90.00
Atoms (fractional coordinates):
Fe1 0.250 0.500 0.000
Fe2 0.750 0.500 0.000
Fe3 0.500 0.000 0.250
Fe4 0.500 0.000 0.750
Fe5 0.000 0.250 0.500
Fe6 0.000 0.750 0.500
W1 0.250 0.000 0.500
W2 0.750 0.000 0.500
W3 0.000 0.500 0.250
W4 0.000 0.500 0.750
W5 0.500 0.250 0.000
W6 0.500 0.750 0.000